# 1
## Sm4Al2S (PBE-GGA)

Data for crystalline Sm4Al2S at its relaxed geometry.

a b c (Å): 4.105 6.626 7.753
angles (deg): 76.50 74.65 71.96
Element x y z (fractional)
1 Sm 0.671 0.735 0.923
2 Sm 0.910 0.815 0.364
3 Sm 0.329 0.265 0.077
4 Al 0.384 0.571 0.661
5 Al 0.616 0.429 0.339
6 Sm 0.090 0.185 0.636
7 S 0.000 0.000 0.000

## Properties
crystal system = monoclinic
space group = C2/m, No. 12
formation energy from raw total energies = -764.8 meV per atom


# 2
## Na2LiBe2H6 (PBE-GGA)

Data for crystalline Na2LiBe2H6 at its relaxed geometry.

a b c (Å): 4.836 4.984 5.868
angles (deg): 114.82 90.00 119.02
Element x y z (fractional)
1 Na 0.706 0.412 0.193
2 H 0.803 0.105 0.789
3 Na 0.294 0.588 0.807
4 Li 0.500 0.000 0.500
5 H 0.302 0.105 0.789
6 H 0.197 0.895 0.211
7 H 0.778 0.556 0.638
8 Be 0.037 0.074 0.234
9 H 0.222 0.444 0.362
10 Be 0.963 0.926 0.766
11 H 0.698 0.895 0.211

## Properties
crystal system = monoclinic
space group = C2/m, No. 12


# 3
## BaPm2Sb (PBE-GGA)

Data for crystalline BaPm2Sb at its relaxed geometry.

a b c (Å): 4.948 5.125 5.125
angles (deg): 90.00 90.00 90.00
Element x y z (fractional)
1 Sb 0.500 0.500 0.500
2 Pm 0.000 0.500 0.000
3 Pm 0.000 0.000 0.500
4 Ba 0.500 0.000 0.000

## Properties
crystal system = tetragonal
space group = P4/mmm, No. 123
formation energy from raw total energies = -363.3 meV per atom


# 4
## Sm3HgSe6 (PBE-GGA)

Data for crystalline Sm3HgSe6 at its relaxed geometry.

a b c (Å): 7.137 8.941 8.941
angles (deg): 100.67 90.00 90.00
Element x y z (fractional)
1 Se 0.719 0.910 0.453
2 Se 0.682 0.625 0.699
3 Se 0.719 0.547 0.090
4 Sm 0.984 0.723 0.915
5 Sm 0.882 0.598 0.402
6 Se 0.689 0.969 0.031
7 Sm 0.382 0.402 0.598
8 Hg 0.504 0.791 0.209
9 Se 0.219 0.453 0.910
10 Se 0.140 0.773 0.227
11 Se 0.219 0.090 0.547
12 Sm 0.484 0.277 0.085
13 Se 0.182 0.699 0.625
14 Se 0.189 0.031 0.969
15 Sm 0.484 0.915 0.723
16 Se 0.640 0.227 0.773
17 Sm 0.984 0.085 0.277
18 Se 0.182 0.375 0.301
19 Hg 0.004 0.209 0.791
20 Se 0.682 0.301 0.375

## Properties
crystal system = orthorhombic
space group = Cmc2_1, No. 36
formation energy from raw total energies = -1376.3 meV per atom


# 5
## In2GaSbPb (PBE-GGA)

Data for crystalline In2GaSbPb at its relaxed geometry.

a b c (Å): 5.580 6.260 5.580
angles (deg): 90.00 90.00 90.00
Element x y z (fractional)
1 Ga 0.500 0.500 0.500
2 Pb 0.000 0.500 0.000
3 Sb 0.000 0.000 0.000
4 In 0.000 0.000 0.500
5 In 0.500 0.000 0.000

## Properties
crystal system = tetragonal
space group = P4/mmm, No. 123
formation energy from raw total energies = 597.3 meV per atom


# 6
## AgRuRh2 (PBE-GGA)

Data for crystalline AgRuRh2 at its relaxed geometry.

a b c (Å): 4.781 4.781 4.820
angles (deg): 80.30 80.30 33.43
Element x y z (fractional)
1 Ag 0.250 0.250 0.244
2 Ru 0.491 0.491 0.526
3 Rh 0.752 0.752 0.737
4 Rh 0.007 0.007 0.994

## Properties
crystal system = monoclinic
space group = Cm, No. 8
polymorph energy (0 for the lowest one) = 157.9 meV/atom
energy of formation from the pure elements = 27 kJ per mole of atoms


Ordered magnetic moment results: 0.0 0.4 0.0 0.0 0.0 0.0; unit μB per cell.
Ordered uncorrected energy results: -5.120 -3.057 -4.250 -4.913 -2.670 -6.424; unit eV/atom.